# 1
VASP calculation (PBE-GGA) on a geometry-optimized CuPC2 structure. Values from VASP.

```
&SYSTEM
  ibrav = 0, nat = 8, ntyp = 3
/
ATOMIC_SPECIES
C 12.01 C.upf
P 30.97 P.upf
Cu 63.55 Cu.upf
ATOMIC_POSITIONS angstrom
C -0.004 1.714 2.336
C 0.626 6.472 0.366
P 1.271 0.871 0.000
C 1.285 1.714 1.605
C 0.655 6.472 3.575
P 0.640 5.628 1.970
Cu 0.000 8.439 0.000
Cu -0.631 3.681 1.970
CELL_PARAMETERS angstrom
2.542 0.000 0.000
0.000 9.515 0.000
-1.261 0.000 3.941
```

DOS at the Fermi energy in states/eV per atom: 0.294
V in Å³ per atom: 11.91
VASP energy in eV per atom: -6.422
Formation enthalpy at 0 K in eV/f.u.: 2.27
Symmetry: No. 5



# 2
VASP calculation (PBE-GGA) on a geometry-optimized CuP2C2 structure. Values from VASP.

```
&SYSTEM
  ibrav = 0, nat = 5, ntyp = 3
/
ATOMIC_SPECIES
P 30.97 P.upf
C 12.01 C.upf
Cu 63.55 Cu.upf
ATOMIC_POSITIONS angstrom
P 1.904 1.904 1.184
C 1.904 3.807 1.758
Cu 0.000 0.000 0.000
C 3.807 1.904 1.758
P 3.807 3.807 2.333
CELL_PARAMETERS angstrom
3.807 0.000 0.000
0.000 3.807 0.000
1.904 1.904 3.516
```

DOS at the Fermi energy in states/eV per atom: 0.476
V in Å³ per atom: 10.20
VASP energy in eV per atom: -5.520
Formation enthalpy at 0 K in eV/f.u.: 5.77
Energy above the lowest structure with this stoichiometry in meV/atom: 12
Symmetry: No. 139



# 3
VASP calculation (PBE-GGA) on a geometry-optimized CuPC2 structure. Values from VASP.

```
&SYSTEM
  ibrav = 0, nat = 8, ntyp = 3
/
ATOMIC_SPECIES
C 12.01 C.upf
Cu 63.55 Cu.upf
P 30.97 P.upf
ATOMIC_POSITIONS angstrom
C 2.548 0.000 0.000
C 7.006 1.247 0.000
C 6.367 0.000 0.000
Cu 4.458 1.247 2.063
C 1.909 1.247 0.000
Cu 0.000 0.000 2.063
P 0.000 1.247 0.000
P 4.458 0.000 0.000
CELL_PARAMETERS angstrom
8.916 0.000 0.000
0.000 2.493 0.000
0.000 0.000 4.127
```

DOS at the Fermi energy in states/eV per atom: 0.303
V in Å³ per atom: 11.47
VASP energy in eV per atom: -6.442
Formation enthalpy at 0 K in eV/f.u.: 2.18
Symmetry: No. 65



# 4
VASP calculation (PBE-GGA) on a geometry-optimized CuPC2 structure. Values from VASP.

```
&SYSTEM
  ibrav = 0, nat = 4, ntyp = 3
/
ATOMIC_SPECIES
P 30.97 P.upf
Cu 63.55 Cu.upf
C 12.01 C.upf
ATOMIC_POSITIONS angstrom
P 1.460 0.843 0.729
Cu 1.460 0.843 4.090
C 0.000 1.686 1.614
C 0.000 1.686 3.061
CELL_PARAMETERS angstrom
2.920 0.000 0.000
-1.460 2.529 0.000
0.000 0.000 5.660
```

DOS at the Fermi energy in states/eV per atom: 0.281
V in Å³ per atom: 10.45
VASP energy in eV per atom: -6.307
Formation enthalpy at 0 K in eV/f.u.: 2.73
Symmetry: No. 156



# 5
VASP calculation (PBE-GGA) on a geometry-optimized CuPC2 structure. Values from VASP.

```
&SYSTEM
  ibrav = 0, nat = 4, ntyp = 3
/
ATOMIC_SPECIES
Cu 63.55 Cu.upf
C 12.01 C.upf
P 30.97 P.upf
ATOMIC_POSITIONS angstrom
Cu 1.965 -2.989 -0.150
C 3.420 0.316 0.349
P 1.948 1.216 0.671
C 3.949 -0.627 -0.344
CELL_PARAMETERS angstrom
-0.998 -1.333 3.395
1.691 -3.227 -2.051
3.448 3.293 0.844
```

DOS at the Fermi energy in states/eV per atom: 0.156
V in Å³ per atom: 16.00
VASP energy in eV per atom: -6.250
Formation enthalpy at 0 K in eV/f.u.: 2.95
Symmetry: No. 1



# 6
VASP calculation (PBE-GGA) on a geometry-optimized CuPC2 structure. Values from VASP.

```
&SYSTEM
  ibrav = 0, nat = 4, ntyp = 3
/
ATOMIC_SPECIES
C 12.01 C.upf
Cu 63.55 Cu.upf
P 30.97 P.upf
ATOMIC_POSITIONS angstrom
C 1.451 0.435 3.174
Cu -0.454 0.773 1.228
C 0.179 1.148 3.177
P 1.446 -1.221 3.964
CELL_PARAMETERS angstrom
2.528 -0.002 -0.004
-1.258 4.017 0.018
-0.625 -1.986 4.963
```

DOS at the Fermi energy in states/eV per atom: 0.272
V in Å³ per atom: 12.62
VASP energy in eV per atom: -6.421
Formation enthalpy at 0 K in eV/f.u.: 2.27
Symmetry: No. 1



- What is the V in the fifth record?
  16.00 Å³ per atom



- Number 4 is which compound?
  CuPC2



Repeat the third record exactly.
VASP calculation (PBE-GGA) on a geometry-optimized CuPC2 structure. Values from VASP.

```
&SYSTEM
  ibrav = 0, nat = 8, ntyp = 3
/
ATOMIC_SPECIES
C 12.01 C.upf
Cu 63.55 Cu.upf
P 30.97 P.upf
ATOMIC_POSITIONS angstrom
C 2.548 0.000 0.000
C 7.006 1.247 0.000
C 6.367 0.000 0.000
Cu 4.458 1.247 2.063
C 1.909 1.247 0.000
Cu 0.000 0.000 2.063
P 0.000 1.247 0.000
P 4.458 0.000 0.000
CELL_PARAMETERS angstrom
8.916 0.000 0.000
0.000 2.493 0.000
0.000 0.000 4.127
```

DOS at the Fermi energy in states/eV per atom: 0.303
V in Å³ per atom: 11.47
VASP energy in eV per atom: -6.442
Formation enthalpy at 0 K in eV/f.u.: 2.18
Symmetry: No. 65



- Among the records above, which one has the highest DOS at the Fermi energy?
  CuP2C2